Entry 1:
Here is a relaxed Ag2Bi2I crystal from Alexandria. Energies are from PBE.

**N(E_F)**: 3.35 states/eV/f.u.
**Relative energy among the computed polymorphs**: 0.000 eV per atom
**Total magnetic moment**: 0.000 μB/atom
**Formation energy from raw total energies**: 0.136 eV per atom

abc: 3.953 3.953 18.286
angles: 90.00 90.00 90.00
Space group I4/mmm (No. 139)
Inequivalent atoms, fractional coordinates:
Ag 0.000 0.500 0.250 x4
Bi 0.000 0.000 0.124 x4
I 0.000 0.000 0.500 x2


Entry 2:
Here is a relaxed PuFe2Tc crystal from Alexandria. Energies are from PBE.

**N(E_F)**: 7.13 states/eV/f.u.
**Relative energy among the computed polymorphs**: 0.093 eV per atom
**Total magnetic moment**: 0.088 μB/atom

abc: 6.226 6.226 6.226
angles: 90.00 90.00 90.00
Space group Fm-3m (No. 225)
Inequivalent atoms, fractional coordinates:
Pu 0.000 0.000 0.000 x4
Fe 0.250 0.250 0.250 x8
Tc 0.000 0.000 0.500 x4


Entry 3:
Here is a relaxed LiNi2Br crystal from Alexandria. Energies are from PBE.

**N(E_F)**: 2.77 states/eV/f.u.
**Relative energy among the computed polymorphs**: 0.205 eV per atom
**Total magnetic moment**: 0.000 μB/atom
**Formation energy from raw total energies**: 0.199 eV per atom

abc: 3.165 4.102 9.535
angles: 90.00 90.00 90.00
Space group Imm2 (No. 44)
Inequivalent atoms, fractional coordinates:
Li 0.000 0.000 0.000 x2
Ni 0.000 0.000 0.524 x2
Ni 0.000 0.500 0.840 x2
Br 0.000 0.500 0.213 x2


Entry 4:
Here is a relaxed Ce4Tl5Rh2 crystal from Alexandria. Energies are from PBE.

**Total DFT energy (no corrections)**: -4.997 eV per atom
**N(E_F)**: 21.92 states/eV/f.u.
**Total magnetic moment**: 0.225 μB/atom

abc: 8.067 3.691 9.791
angles: 90.00 94.50 90.00
Space group P2/m (No. 10)
Inequivalent atoms, fractional coordinates:
Ce 0.190 0.000 0.342 x2
Ce 0.210 0.000 0.934 x2
Tl 0.156 0.500 0.639 x2
Tl 0.461 0.500 0.165 x2
Tl 0.500 0.500 0.500 x1
Rh 0.085 0.500 0.140 x2


Entry 5:
Here is a relaxed HgIr2Br crystal from Alexandria. Energies are from PBE.

**N(E_F)**: 3.20 states/eV/f.u.
**Relative energy among the computed polymorphs**: 0.449 eV per atom
**Total magnetic moment**: 0.000 μB/atom
**Formation energy from raw total energies**: 0.871 eV per atom

abc: 2.891 5.284 9.395
angles: 90.00 90.00 90.00
Space group Immm (No. 71)
Inequivalent atoms, fractional coordinates:
Hg 0.000 0.000 0.000 x2
Ir 0.000 0.500 0.242 x4
Br 0.000 0.000 0.500 x2


Entry 6:
Here is a relaxed SiHgCl4 crystal from Alexandria. Energies are from PBE.

**N(E_F)**: 0.93 states/eV/f.u.
**Relative energy among the computed polymorphs**: 1.655 eV per atom
**Total magnetic moment**: 0.344 μB/atom
**Formation energy from raw total energies**: 0.641 eV per atom

abc: 8.383 8.383 8.383
angles: 90.00 90.00 90.00
Space group F-43m (No. 216)
Inequivalent atoms, fractional coordinates:
Si 0.000 0.000 0.000 x4
Hg 0.250 0.250 0.250 x4
Cl 0.125 0.125 0.625 x16